VASP calculation (PBE) on crystalline ZrHg2Pt at its relaxed geometry.

Summary:
Energy above the lowest structure with this stoichiometry = 405 meV per atom
Magnetic moment = 0.00 μB per formula unit
Calculated formation energy = 0.062 eV/atom

Unit cell a=7.941 b=7.941 c=5.588 alpha=90.00 beta=90.00 gamma=90.00
Space group I-42d (No. 122)
Unique sites:
Zr  0.000  0.000  0.000 (multiplicity 4)
Hg  0.230  0.250  0.625 (multiplicity 8)
Pt  0.000  0.000  0.500 (multiplicity 4)